The following is a PBE-GGA calculation of KAgCl3 after structural relaxation, from Alexandria.

Its total energy is -0.2111 Ry/atom.

The structure in CIF format:
```
data_KAgCl3
_chemical_formula_sum 'K2 Ag2 Cl6'
_symmetry_space_group_name_H-M 'P 63/m m c'
_symmetry_Int_Tables_number 194
_symmetry_space_group_name_Hall '-P 6c 2c'
_cell_length_a 4.7766
_cell_length_b 4.7766
_cell_length_c 15.4229
_cell_angle_alpha 90.00
_cell_angle_beta 90.00
_cell_angle_gamma 120.00
loop_
_atom_site_label
_atom_site_type_symbol
_atom_site_fract_x
_atom_site_fract_y
_atom_site_fract_z
K1 K 0.0000 0.0000 0.0000
Ag1 Ag 0.3333 0.6667 0.2500
Cl1 Cl 0.0000 0.0000 0.2500
Cl2 Cl 0.3333 0.6667 0.0948
```



The following is a PBE-GGA calculation of Ac2SnSe4 after structural relaxation, from Alexandria.

Its total energy is -0.3833 Ry/atom. Its polymorph energy (0 for the lowest one) is 33 meV per atom.

The structure in CIF format:
```
data_Ac2SnSe4
_chemical_formula_sum 'Ac4 Sn2 Se8'
_symmetry_space_group_name_H-M 'C 1 2/m 1'
_symmetry_Int_Tables_number 12
_cell_length_a 15.475
_cell_length_b 4.508
_cell_length_c 7.976
_cell_angle_alpha 90.00
_cell_angle_beta 117.58
_cell_angle_gamma 90.00
loop_
_symmetry_equiv_pos_as_xyz
'x,y,z'
'-x,-y,-z'
'-x,y,-z'
'x,-y,z'
'x+1/2,y+1/2,z'
'-x+1/2,-y+1/2,-z'
'-x+1/2,y+1/2,-z'
'x+1/2,-y+1/2,z'
loop_
_atom_site_label
_atom_site_type_symbol
_atom_site_fract_x
_atom_site_fract_y
_atom_site_fract_z
Ac1 Ac 0.216 0.000 0.209
Sn1 Sn 0.000 0.500 0.500
Se1 Se 0.121 0.500 0.924
Se2 Se 0.142 0.000 0.514
```